Ac7LaNd2 after structural relaxation. Source: the Alexandria database, functional PBE-GGA.

Structure (CIF):
```
data_Ac7LaNd2
_cell_length_a 10.172
_cell_length_b 16.548
_cell_length_c 6.116
_cell_angle_alpha 90.00
_cell_angle_beta 90.00
_cell_angle_gamma 90.00
_symmetry_space_group_name_H-M 'C m m m'
_symmetry_Int_Tables_number 65
_symmetry_space_group_name_Hall '-C 2 2'
loop_
_atom_site_label
_atom_site_type_symbol
_atom_site_fract_x
_atom_site_fract_y
_atom_site_fract_z
_atom_site_occupancy
Ac1 Ac 0.000 0.000 0.000 1
Ac2 Ac 0.000 0.255 0.500 1
Ac3 Ac 0.186 0.375 0.000 1
La1 La 0.000 0.500 0.500 1
Nd1 Nd 0.000 0.200 0.000 1
```

Values from the calculation:
magnetic moment	0.6	μB per cell
E	-3.74	eV per atom
D(E_F)	31.39	states/eV/cell
ΔE_f	0.581	eV per atom

InNi4P after structural relaxation. Source: the Alexandria database, functional PBE-GGA.

Structure (CIF):
```
data_InNi4P
_cell_length_a 6.808
_cell_length_b 6.808
_cell_length_c 6.808
_cell_angle_alpha 90.00
_cell_angle_beta 90.00
_cell_angle_gamma 90.00
_symmetry_space_group_name_H-M 'F -4 3 m'
_symmetry_Int_Tables_number 216
_symmetry_space_group_name_Hall 'F -4 2 3'
loop_
_atom_site_label
_atom_site_type_symbol
_atom_site_fract_x
_atom_site_fract_y
_atom_site_fract_z
_atom_site_occupancy
In1 In 0.000 0.000 0.000 1
Ni1 Ni 0.124 0.124 0.624 1
P1 P 0.250 0.250 0.250 1
```

Values from the calculation:
magnetic moment	0.0	μB per cell
E	-5.07	eV per atom
D(E_F)	11.85	states/eV/cell
ΔE_f	0.142	eV per atom

Rb2SClF6 after structural relaxation. Source: the Alexandria database, functional PBE-GGA.

Structure (CIF):
```
data_Rb2SClF6
_cell_length_a 6.601
_cell_length_b 6.601
_cell_length_c 9.292
_cell_angle_alpha 90.00
_cell_angle_beta 90.00
_cell_angle_gamma 90.00
_symmetry_space_group_name_H-M 'I 4/m m m'
_symmetry_Int_Tables_number 139
_symmetry_space_group_name_Hall '-I 4 2'
loop_
_atom_site_label
_atom_site_type_symbol
_atom_site_fract_x
_atom_site_fract_y
_atom_site_fract_z
_atom_site_occupancy
Rb1 Rb 0.000 0.500 0.250 1
S1 S 0.000 0.000 0.000 1
Cl1 Cl 0.000 0.000 0.500 1
F1 F 0.000 0.000 0.193 1
F2 F 0.192 0.192 0.000 1
```

Values from the calculation:
magnetic moment	0.0	μB per cell
relative energy among the computed polymorphs	76.6	meV/atom
E	-3.72	eV per atom
D(E_F)	16.56	states/eV/cell
E_form (uncorrected)	-1.80	eV per atom

TaCrPS2 after structural relaxation. Source: the Alexandria database, functional PBE-GGA.

Structure (CIF):
```
data_TaCrPS2
_cell_length_a 4.712
_cell_length_b 4.712
_cell_length_c 4.886
_cell_angle_alpha 90.00
_cell_angle_beta 90.00
_cell_angle_gamma 90.00
_symmetry_space_group_name_H-M 'P 4/m m m'
_symmetry_Int_Tables_number 123
_symmetry_space_group_name_Hall '-P 4 2'
loop_
_atom_site_label
_atom_site_type_symbol
_atom_site_fract_x
_atom_site_fract_y
_atom_site_fract_z
_atom_site_occupancy
Ta1 Ta 0.000 0.000 0.000 1
Cr1 Cr 0.500 0.500 0.500 1
P1 P 0.000 0.000 0.500 1
S1 S 0.000 0.500 0.000 1
```

Values from the calculation:
magnetic moment	0.2	μB per cell
relative energy among the computed polymorphs	148.5	meV/atom
E	-6.31	eV per atom
D(E_F)	9.23	states/eV/cell
E_form (uncorrected)	0.72	eV per atom